A plane-wave DFT calculation with PBE was carried out for a relaxed BC2 crystal.

a b c (Å): 4.578 4.552 4.550
angles (deg): 100.10 98.39 120.41
Element x y z (fractional)
C1 0.369 0.369 0.117
C2 0.165 0.847 0.504
C3 0.356 0.663 0.006
C4 0.536 0.203 0.640
C5 0.001 0.013 0.993
C6 0.659 0.322 0.995
C7 0.713 0.043 0.109
C8 0.892 0.885 0.638
B1 0.534 0.490 0.485
B2 0.195 0.581 0.659
B3 0.034 0.707 0.120
B4 0.795 0.129 0.483

Summary:
Space-group type: No. 1
DFT formation energy: 0.36 eV per atom
E: -8.0139 eV per atom
Crystal system: triclinic